[1]
This record from the Alexandria database describes a relaxed PuCdAg3 crystal. The functional is PBE.

Structure (extended XYZ):
```
10
Lattice="-2.461 -1.556 0.763 1.458 0.016 4.734 -6.903 11.936 2.087" Properties=species:S:1:pos:R:3 pbc="T T T"
Pu -4.742 10.101 5.314
Pu -0.704 1.851 1.506
Ag -3.500 6.685 2.351
Ag -7.406 10.534 3.542
Ag -1.927 2.328 4.473
Ag -5.979 8.067 3.111
Ag -1.946 5.267 4.469
Ag -0.500 -0.138 4.042
Cd -4.452 6.695 5.236
Cd -3.454 3.700 2.347
```

Computed properties:
* formation energy from the elements: -0.03 eV/atom
* space group: Pmma
* calculated volume: 207.9 Å³/cell
* energy above the lowest structure with this stoichiometry: 0 meV per atom

***

[2]
This record from the Alexandria database describes a relaxed PuCdAg3 crystal. The functional is PBE.

Structure (extended XYZ):
```
10
Lattice="5.795 0.000 0.057 0.000 5.788 0.000 0.038 0.000 6.556" Properties=species:S:1:pos:R:3 pbc="T T T"
Ag 0.863 2.882 1.151
Ag 0.806 4.341 3.573
Ag 5.027 1.447 3.040
Ag 4.970 5.776 5.462
Ag 0.863 0.012 1.151
Ag 4.970 2.906 5.462
Cd 2.490 4.341 5.824
Cd 3.343 1.447 0.789
Pu 3.724 4.341 2.397
Pu 2.109 1.447 4.216
```

Computed properties:
* formation energy from the elements: 0.02 eV/atom
* space group: P2_1/m
* calculated volume: 219.9 Å³/cell
* energy above the lowest structure with this stoichiometry: 52 meV per atom

***

[3]
This record from the Alexandria database describes a relaxed PuCd3Ag crystal. The functional is PBE.

Structure (extended XYZ):
```
10
Lattice="3.073 0.000 0.000 0.000 5.061 0.000 0.000 0.000 14.295" Properties=species:S:1:pos:R:3 pbc="T T T"
Cd 1.537 1.265 13.554
Cd 1.537 3.796 0.740
Cd 1.537 3.796 3.760
Cd 0.000 3.796 6.350
Cd 0.000 1.265 7.945
Cd 1.537 1.265 10.535
Ag 1.537 3.796 8.990
Ag 1.537 1.265 5.304
Pu 0.000 3.796 12.023
Pu 0.000 1.265 2.272
```

Computed properties:
* formation energy from the elements: -0.06 eV/atom
* space group: Pmma
* calculated volume: 222.4 Å³/cell
* energy above the lowest structure with this stoichiometry: 0 meV per atom

***

[4]
This record from the Alexandria database describes a relaxed PuCd5Ag4 crystal. The functional is PBE.

Structure (extended XYZ):
```
10
Lattice="-0.548 -2.658 1.461 2.773 -1.040 -0.854 8.561 8.096 17.943" Properties=species:S:1:pos:R:3 pbc="T T T"
Pu 0.000 0.000 0.000
Cd 2.121 -0.895 2.417
Cd 3.756 0.651 5.844
Cd 7.030 3.747 12.707
Cd 5.393 2.199 9.275
Cd 8.666 5.294 16.133
Ag 6.732 6.367 14.110
Ag 3.461 3.273 7.254
Ag 1.829 1.730 3.833
Ag 5.100 4.823 10.690
```

Computed properties:
* formation energy from the elements: -0.06 eV/atom
* space group: P4/mmm
* calculated volume: 203.9 Å³/cell

***

[5]
This record from the Alexandria database describes a relaxed PuCd10Ag2 crystal. The functional is PBE.

Structure (extended XYZ):
```
13
Lattice="5.235 0.000 2.134 2.617 7.136 1.067 -0.098 0.000 7.726" Properties=species:S:1:pos:R:3 pbc="T T T"
Pu 0.000 0.000 0.000
Cd -0.049 0.000 3.863
Cd 5.695 5.606 8.491
Cd 3.441 4.589 6.533
Cd 2.568 0.000 4.930
Cd 1.696 4.589 3.327
Cd 4.313 2.547 4.394
Cd 4.676 5.606 3.504
Cd 6.058 2.547 7.601
Cd 2.059 1.530 2.436
Cd 3.078 1.530 7.424
Ag 3.926 3.568 1.601
Ag 1.309 3.568 0.534
```

Computed properties:
* formation energy from the elements: -0.03 eV/atom
* space group: Fmmm
* calculated volume: 290.1 Å³/cell

***

[6]
This record from the Alexandria database describes a relaxed PuCd9Ag2 crystal. The functional is PBE.

Structure (extended XYZ):
```
24
Lattice="-2.203 4.543 5.725 -8.149 -2.217 3.712 2.771 -2.770 8.352" Properties=species:S:1:pos:R:3 pbc="T T T"
Cd -0.629 -0.876 5.034
Cd -6.733 -0.021 12.185
Cd -2.094 -1.253 10.873
Cd -4.105 -0.154 13.301
Cd -3.712 1.790 5.292
Cd -1.085 1.657 6.408
Cd -2.987 -4.052 10.206
Cd -6.783 -2.565 6.551
Cd 0.523 -0.603 7.805
Cd -0.241 -2.897 9.331
Cd -6.019 -0.272 5.026
Cd -4.341 0.914 10.326
Cd -1.329 1.040 9.348
Cd -3.257 -0.743 3.918
Cd 0.000 0.000 0.000
Cd -6.472 -1.031 9.013
Cd -5.707 1.262 7.488
Cd -5.615 -3.919 9.089
Ag -7.347 1.620 9.882
Ag -1.887 1.343 12.202
Ag -4.860 -2.037 11.195
Ag -3.272 2.728 8.026
Pu -1.101 2.271 2.863
Pu -3.240 -1.358 7.464
```

Computed properties:
* formation energy from the elements: -0.04 eV/atom
* space group: I4_1/amd
* calculated volume: 538.5 Å³/cell

***

[7]
This record from the Alexandria database describes a relaxed Pu2CdAg crystal. The functional is PBE.

Structure (extended XYZ):
```
4
Lattice="-1.286 0.018 -2.858 -0.653 -2.705 -1.442 -11.452 -0.880 3.427" Properties=species:S:1:pos:R:3 pbc="T T T"
Ag -6.695 -1.783 -0.437
Pu -4.896 -2.683 -2.970
Pu -8.494 -0.884 2.097
Cd 0.000 0.000 0.000
```

Computed properties:
* formation energy from the elements: 0.32 eV/atom
* space group: R-3m
* calculated volume: 100.8 Å³/cell

***

[8]
This record from the Alexandria database describes a relaxed Pu2CdAg6 crystal. The functional is PBE.

Structure (extended XYZ):
```
9
Lattice="5.804 0.126 -0.408 -0.474 5.775 -0.543 0.092 0.242 5.814" Properties=species:S:1:pos:R:3 pbc="T T T"
Pu 3.578 4.053 3.209
Pu 1.846 2.090 1.655
Ag 0.798 3.110 4.516
Ag 4.625 3.033 0.348
Ag 2.522 4.925 0.303
Ag 4.815 1.179 2.477
Ag 0.608 4.963 2.387
Ag 2.901 1.218 4.561
Cd 0.000 0.000 0.000
```

Computed properties:
* formation energy from the elements: 0.09 eV/atom
* space group: R-3m
* calculated volume: 196.3 Å³/cell

***

[9]
This record from the Alexandria database describes a relaxed Pu2CdAg crystal. The functional is PBE.

Structure (extended XYZ):
```
4
Lattice="4.978 0.000 0.000 0.000 4.341 0.000 0.000 0.000 4.341" Properties=species:S:1:pos:R:3 pbc="T T T"
Pu 0.000 2.171 0.000
Pu 0.000 0.000 2.171
Cd 2.489 0.000 0.000
Ag 2.489 2.171 2.171
```

Computed properties:
* formation energy from the elements: 0.03 eV/atom
* space group: P4/mmm
* calculated volume: 93.8 Å³/cell

***

[10]
This record from the Alexandria database describes a relaxed PuCd4Ag crystal. The functional is PBE.

Structure (extended XYZ):
```
6
Lattice="-4.628 0.684 3.511 -3.800 -4.388 0.718 -0.247 -2.850 5.102" Properties=species:S:1:pos:R:3 pbc="T T T"
Cd -3.104 -4.441 4.075
Cd -5.424 -4.098 5.835
Cd -5.301 -2.670 3.277
Cd -3.519 -1.898 5.475
Pu -2.169 -1.638 2.333
Ag 0.000 0.000 0.000
```

Computed properties:
* formation energy from the elements: 0.07 eV/atom
* space group: F-43m
* calculated volume: 141.5 Å³/cell
* energy above the lowest structure with this stoichiometry: 131 meV per atom

***

[11]
This record from the Alexandria database describes a relaxed PuCdAg2 crystal. The functional is PBE.

Structure (extended XYZ):
```
4
Lattice="3.077 -0.009 -0.004 1.531 2.670 -0.004 1.516 0.875 10.257" Properties=species:S:1:pos:R:3 pbc="T T T"
Pu 3.070 1.772 5.126
Cd 4.588 2.649 10.248
Ag 1.522 0.879 7.826
Ag 1.524 0.880 2.428
```

Computed properties:
* formation energy from the elements: 0.09 eV/atom
* space group: Cm
* calculated volume: 84.4 Å³/cell

***

[12]
This record from the Alexandria database describes a relaxed PuCdAg2 crystal. The functional is PBE.

Structure (extended XYZ):
```
4
Lattice="3.024 0.000 0.000 0.000 5.403 0.000 0.000 0.000 5.403" Properties=species:S:1:pos:R:3 pbc="T T T"
Cd 1.512 0.000 0.000
Ag 0.000 0.000 2.702
Ag 0.000 2.702 0.000
Pu 1.512 2.702 2.702
```

Computed properties:
* formation energy from the elements: 0.09 eV/atom
* space group: P4/mmm
* calculated volume: 88.3 Å³/cell

***

What are the Fermi-level density of states values for these records? In order: 9.21, 14.00, 8.83, 7.20, 17.84, 20.87, 14.55, 25.29, 11.69, 15.05, 7.80, 9.91 states/eV/f.u..